Record 1
First-principles (PBE) data for TbCeSc6 after structural relaxation, as listed in Alexandria via LeMat-Bulk.

Computed properties:
Its space group is P-6m2. For the calculated formation energy, the calculation gives 0.04 eV/atom. Its total energy is -48.2 eV/cell. The calculation puts the density of states at the Fermi level at 15.88 states/eV per cell.

Geometry as POSCAR:
```
TbCeSc6
1.0
6.726 0.000 0.000
-3.363 5.825 0.000
0.000 0.000 5.337
Tb Ce Sc
1 1 6
direct
0.000 0.000 0.000
0.333 0.667 0.500
0.340 0.170 0.500
0.500 0.001 0.000
0.500 0.500 0.000
0.830 0.170 0.500
0.830 0.660 0.500
0.999 0.500 0.000
```


Record 2
First-principles (PBE) data for Tb12CeSc6 after structural relaxation, as listed in Alexandria via LeMat-Bulk.

Computed properties:
Its space group is Im-3. For the calculated formation energy, the calculation gives 0.24 eV/atom. Its total energy is -95.0 eV/cell. The calculation puts the density of states at the Fermi level at 31.54 states/eV per cell.

Geometry as POSCAR:
```
Tb12CeSc6
1.0
-5.225 5.225 5.225
5.225 -5.225 5.225
5.225 5.225 -5.225
Tb Ce Sc
12 1 6
direct
0.069 0.266 0.803
0.197 0.463 0.266
0.197 0.931 0.734
0.266 0.197 0.463
0.266 0.803 0.069
0.463 0.266 0.197
0.537 0.734 0.803
0.734 0.197 0.931
0.734 0.803 0.537
0.803 0.069 0.266
0.803 0.537 0.734
0.931 0.734 0.197
0.000 0.000 0.000
0.139 0.500 0.639
0.361 0.861 0.500
0.500 0.361 0.861
0.500 0.639 0.139
0.639 0.139 0.500
0.861 0.500 0.361
```


Record 3
First-principles (PBE) data for TbCe2Sc after structural relaxation, as listed in Alexandria via LeMat-Bulk.

Computed properties:
Its space group is P4/mmm. For the calculated formation energy, the calculation gives 0.11 eV/atom. Its total energy is -22.4 eV/cell. The calculation puts the density of states at the Fermi level at 10.14 states/eV per cell.

Geometry as POSCAR:
```
TbCe2Sc
1.0
3.394 0.000 0.000
0.000 3.394 0.000
0.000 0.000 9.888
Tb Ce Sc
1 2 1
direct
0.000 0.000 0.000
0.500 0.500 0.260
0.500 0.500 0.740
0.000 0.000 0.500
```


Record 4
First-principles (PBE) data for TbCeSc2 after structural relaxation, as listed in Alexandria via LeMat-Bulk.

Computed properties:
Its space group is R3m. For the calculated formation energy, the calculation gives 0.06 eV/atom. Its total energy is -23.0 eV/cell. The calculation puts the density of states at the Fermi level at 8.53 states/eV per cell.

Geometry as POSCAR:
```
TbCeSc2
1.0
1.701 0.982 10.823
-1.701 0.982 10.823
0.000 -1.964 10.823
Tb Ce Sc
1 1 2
direct
0.000 0.000 0.000
0.834 0.834 0.834
0.249 0.249 0.249
0.419 0.419 0.419
```


Record 5
First-principles (PBE) data for TbCeSc after structural relaxation, as listed in Alexandria via LeMat-Bulk.

Computed properties:
Its space group is P3m1. For the calculated formation energy, the calculation gives 0.08 eV/atom. Its total energy is -16.7 eV/cell. The calculation puts the density of states at the Fermi level at 6.27 states/eV per cell.

Geometry as POSCAR:
```
TbCeSc
1.0
3.423 0.000 0.000
-1.711 2.964 0.000
0.000 0.000 8.324
Tb Ce Sc
1 1 1
direct
0.000 0.000 0.000
0.333 0.667 0.654
0.667 0.333 0.334
```


Record 6
First-principles (PBE) data for Tb2CeSc after structural relaxation, as listed in Alexandria via LeMat-Bulk.

Computed properties:
Its space group is P4/mmm. For the calculated formation energy, the calculation gives 0.08 eV/atom. Its total energy is -21.2 eV/cell. The calculation puts the density of states at the Fermi level at 7.15 states/eV per cell.

Geometry as POSCAR:
```
Tb2CeSc
1.0
4.908 0.000 0.000
0.000 4.908 0.000
0.000 0.000 4.881
Tb Ce Sc
2 1 1
direct
0.000 0.500 0.000
0.500 0.000 0.000
0.000 0.000 0.500
0.500 0.500 0.500
```